This record from Alexandria describes AlOs2Se after structural relaxation. The functional is PBE.

Results
Total energy (hartree per atom): -0.266
ΔE to the lowest computed polymorph (meV/atom): 0.0
ΔE_f (raw) (eV/atom): 0.193
Total magnetization (μB per formula unit): 0.0
DOS at the Fermi energy (states/eV/f.u.): 2.84

Unit cell a=2.855 b=2.855 c=7.692 alpha=90.00 beta=90.00 gamma=90.00
Space group P4mm (No. 99)
Asymmetric unit:
Al  0.000  0.000  0.000
Os  0.000  0.000  0.451
Os  0.500  0.500  0.227
Se  0.500  0.500  0.697